# 1
CoAgPt2: optimized geometry, PBE-GGA.

a b c (Å): 2.776 4.687 4.733
angles (deg): 90.00 90.00 90.00
Fractional coordinates of all 4 atoms:
Co  0.000  0.000  0.000
Ag  0.500  0.000  0.500
Pt  0.000  0.500  0.500
Pt  0.500  0.500  0.000

Output
For the energy, the calculation gives -5.334 eV per atom. Its density of states at the Fermi level is 4.78 states/eV per cell. For the formation energy, the calculation gives 0.18 eV per atom.

***

# 2
CoAg2Pt: optimized geometry, PBE-GGA.

a b c (Å): 4.589 4.589 3.017
angles (deg): 90.00 90.00 90.00
Fractional coordinates of all 4 atoms:
Co  0.000  0.000  0.000
Ag  0.000  0.500  0.500
Ag  0.500  0.000  0.500
Pt  0.500  0.500  0.000

Output
For the energy, the calculation gives -4.343 eV per atom. The energy above the lowest structure with this stoichiometry comes out at 279.3 meV per atom. Its density of states at the Fermi level is 5.26 states/eV per cell. For the formation energy, the calculation gives 0.37 eV per atom.

***

# 3
CoAg2Pt: optimized geometry, PBE-GGA.

a b c (Å): 9.442 9.442 9.442
angles (deg): 16.93 16.93 16.93
Fractional coordinates of all 4 atoms:
Co  0.000  0.000  0.000
Ag  0.253  0.253  0.253
Ag  0.747  0.747  0.747
Pt  0.500  0.500  0.500

Output
For the energy, the calculation gives -4.520 eV per atom. The energy above the lowest structure with this stoichiometry comes out at 102.1 meV per atom. Its density of states at the Fermi level is 2.93 states/eV per cell. For the formation energy, the calculation gives 0.19 eV per atom.

***

# 4
CoAg2Pt: optimized geometry, PBE-GGA.

a b c (Å): 5.032 5.032 5.032
angles (deg): 134.94 134.94 65.62
Fractional coordinates of all 4 atoms:
Co  0.000  0.000  0.000
Ag  0.250  0.750  0.500
Ag  0.750  0.250  0.500
Pt  0.500  0.500  0.000

Output
For the energy, the calculation gives -4.453 eV per atom. The energy above the lowest structure with this stoichiometry comes out at 169.0 meV per atom. Its density of states at the Fermi level is 5.80 states/eV per cell. For the formation energy, the calculation gives 0.26 eV per atom.

***

# 5
CoAg2Pt: optimized geometry, PBE-GGA.

a b c (Å): 4.766 4.766 5.022
angles (deg): 99.57 99.57 34.03
Fractional coordinates of all 4 atoms:
Co  0.000  0.000  0.000
Ag  0.507  0.507  0.527
Ag  0.749  0.749  0.289
Pt  0.263  0.263  0.814

Output
For the energy, the calculation gives -4.525 eV per atom. The energy above the lowest structure with this stoichiometry comes out at 96.8 meV per atom. Its density of states at the Fermi level is 2.76 states/eV per cell. For the formation energy, the calculation gives 0.19 eV per atom.

***

# 6
CoAg2Pt: optimized geometry, PBE-GGA.

a b c (Å): 5.761 5.761 5.761
angles (deg): 101.92 101.92 125.94
Fractional coordinates of all 8 atoms:
Co  0.000  0.000  0.000
Co  0.750  0.250  0.500
Ag  0.106  0.625  0.981
Ag  0.375  0.356  0.481
Ag  0.644  0.125  0.019
Ag  0.875  0.894  0.519
Pt  0.250  0.750  0.500
Pt  0.500  0.500  0.000

Output
For the energy, the calculation gives -4.110 eV per atom. The energy above the lowest structure with this stoichiometry comes out at 512.2 meV per atom. Its density of states at the Fermi level is 7.60 states/eV per cell. For the formation energy, the calculation gives 0.60 eV per atom.